Entry 1:
A plane-wave DFT calculation with SCAN was carried out for a PBEsol-optimized structure of K2P2PdS6.

Unit cell a=15.533 b=7.043 c=10.032 alpha=90.00 beta=90.00 gamma=90.00
Space group Pnma (No. 62)
One atom of each set of equivalent atoms:
K 0.119 0.250 0.068 [4 per cell]
K 0.181 0.250 0.588 [4 per cell]
P 0.057 0.750 0.216 [4 per cell]
P 0.170 0.750 0.350 [4 per cell]
Pd 0.000 0.000 0.500 [4 per cell]
S 0.009 0.008 0.732 [8 per cell]
S 0.091 0.750 0.027 [4 per cell]
S 0.095 0.750 0.529 [4 per cell]
S 0.235 0.510 0.334 [8 per cell]

Properties
For the total magnetic moment, the calculation gives 0.00 μB/cell. For the formation energy from raw total energies, the calculation gives -0.8252 eV per atom. As for the calculated volume: 1097.5 Å³ per cell. The value obtained for the energy is -12.4613 eV per atom.

Entry 2:
A plane-wave DFT calculation with SCAN was carried out for a PBEsol-optimized structure of KPrP2Se6.

Unit cell a=12.340 b=7.753 c=11.680 alpha=90.00 beta=109.01 gamma=90.00
Space group P2_1/c (No. 14)
One atom of each set of equivalent atoms:
K 0.125 0.085 0.369 [4 per cell]
Pr 0.351 0.602 0.596 [4 per cell]
P 0.211 0.618 0.268 [4 per cell]
P 0.327 0.097 0.754 [4 per cell]
Se 0.112 0.515 0.377 [4 per cell]
Se 0.129 0.716 0.083 [4 per cell]
Se 0.215 0.212 0.135 [4 per cell]
Se 0.330 0.683 0.867 [4 per cell]
Se 0.413 0.193 0.939 [4 per cell]
Se 0.452 0.533 0.183 [4 per cell]

Properties
For the total magnetic moment, the calculation gives 0.00 μB/cell. For the formation energy from raw total energies, the calculation gives -0.9607 eV per atom. As for the calculated volume: 1056.5 Å³ per cell. The value obtained for the energy is -20.2530 eV per atom.

Entry 3:
A plane-wave DFT calculation with SCAN was carried out for a PBEsol-optimized structure of K2PPt.

Unit cell a=4.353 b=5.708 c=9.487 alpha=90.00 beta=90.00 gamma=90.00
Space group Imm2 (No. 44)
One atom of each set of equivalent atoms:
K 0.000 0.000 0.000 [2 per cell]
K 0.000 0.500 0.180 [2 per cell]
P 0.000 0.500 0.829 [2 per cell]
Pt 0.000 0.000 0.352 [2 per cell]

Properties
The value obtained for the formation enthalpy at 0 K is -0.62 eV/atom. For the total magnetic moment, the calculation gives 0.00 μB/cell. As for the calculated volume: 235.7 Å³ per cell. The value obtained for the energy is -24.9310 eV per atom.

Entry 4:
A plane-wave DFT calculation with SCAN was carried out for a PBEsol-optimized structure of KPPt2.

Unit cell a=5.331 b=5.331 c=14.553 alpha=90.00 beta=90.00 gamma=90.00
Space group I4_1/amd (No. 141, origin choice 2)
One atom of each set of equivalent atoms:
K 0.000 0.250 0.375 [4 per cell]
P 0.000 0.250 0.875 [4 per cell]
Pt 0.000 0.000 0.000 [8 per cell]

Properties
The value obtained for the formation enthalpy at 0 K is -0.53 eV/atom. For the total magnetic moment, the calculation gives 0.00 μB/cell. As for the calculated volume: 413.6 Å³ per cell. The value obtained for the energy is -40.3043 eV per atom.

Entry 5:
A plane-wave DFT calculation with SCAN was carried out for a PBEsol-optimized structure of KPPt2.

Unit cell a=5.720 b=9.837 c=2.694 alpha=90.00 beta=116.95 gamma=90.00
Space group C2/m (No. 12)
One atom of each set of equivalent atoms:
K 0.000 0.000 0.000 [2 per cell]
P 0.000 0.500 0.000 [2 per cell]
Pt 0.250 0.250 0.000 [4 per cell]

Properties
The value obtained for the formation enthalpy at 0 K is 0.36 eV/atom. For the total magnetic moment, the calculation gives 0.00 μB/cell. As for the calculated volume: 135.1 Å³ per cell. The value obtained for the energy is -39.4199 eV per atom.

Entry 6:
A plane-wave DFT calculation with SCAN was carried out for a PBEsol-optimized structure of KPPt2.

Unit cell a=6.527 b=6.527 c=6.527 alpha=90.00 beta=90.00 gamma=90.00
Space group F-43m (No. 216)
One atom of each set of equivalent atoms:
K 0.000 0.000 0.000 [4 per cell]
P 0.250 0.250 0.750 [4 per cell]
Pt 0.000 0.000 0.500 [4 per cell]
Pt 0.250 0.250 0.250 [4 per cell]

Properties
The value obtained for the formation enthalpy at 0 K is 0.61 eV/atom. For the total magnetic moment, the calculation gives 0.00 μB/cell. As for the calculated volume: 278.1 Å³ per cell. The value obtained for the energy is -39.1698 eV per atom.